PmNd6Er2Tm3, optimized geometry, DFT GGA-PBE; total magnetic moment = 0.00 μB per cell; calculated volume = 32.8 A^3/atom; DOS at the Fermi energy = 12.98 states/eV/cell; ΔE_f = 15 meV/atom; E = -4.643 eV/atom; space group = C2/m (12)
1.0
3.128 -5.418 0.000
3.128 5.418 0.000
-2.079 0.000 11.628
Pm Nd Er Tm
1 6 2 3
Direct
0.000 0.000 0.000
0.084 0.418 0.252
0.249 0.249 0.748
0.418 0.084 0.252
0.582 0.916 0.748
0.751 0.751 0.252
0.916 0.582 0.748
0.333 0.667 0.000
0.667 0.333 0.000
0.167 0.833 0.500
0.500 0.500 0.500
0.833 0.167 0.500

=====

Tb2CePrS4, optimized geometry, DFT GGA-PBE; total magnetic moment = 0.80 μB per cell; calculated volume = 22.6 A^3/atom; DOS at the Fermi energy = 7.66 states/eV/cell; formation energy (no corrections) = -2028 meV per atom; E = -6.589 eV/atom; space group = P2/m (10)
1.0
6.896 0.000 0.000
0.000 3.969 0.000
-2.288 0.000 6.599
Tb Ce Pr S
2 1 1 4
Direct
0.000 0.000 0.000
0.500 0.500 0.000
0.000 0.500 0.500
0.500 0.000 0.500
0.242 0.500 0.236
0.251 0.000 0.762
0.749 0.000 0.238
0.758 0.500 0.764

=====

Bi2Os2O7, optimized geometry, DFT GGA-PBE; total magnetic moment = 0.00 μB per cell; calculated volume = 13.0 A^3/atom; DOS at the Fermi energy = 4.97 states/eV/cell; formation energy (no corrections) = -1043 meV per atom; E = -6.945 eV/atom; space group = Fd-3m (227)
1.0
0.000 5.226 5.226
5.226 0.000 5.226
5.226 5.226 0.000
Bi Os O
4 4 14
Direct
0.000 0.000 0.000
0.000 0.000 0.500
0.000 0.500 0.000
0.500 0.000 0.000
0.000 0.500 0.500
0.500 0.000 0.500
0.500 0.500 0.000
0.500 0.500 0.500
0.125 0.125 0.125
0.173 0.173 0.577
0.173 0.577 0.173
0.173 0.577 0.577
0.423 0.423 0.827
0.423 0.827 0.423
0.423 0.827 0.827
0.577 0.173 0.173
0.577 0.173 0.577
0.577 0.577 0.173
0.827 0.423 0.423
0.827 0.423 0.827
0.827 0.827 0.423
0.875 0.875 0.875